Computed, not measured: a geometry-optimized CeSc5In4 structure at the PBE-GGA level of DFT.

a = 3.3069 Å, b = 3.3069 Å, c = 21.3222 Å
α = 90.00°, β = 90.00°, γ = 90.00°
Last column: nearest neighbours and their distance in Å.
Atoms (fractional coordinates):
Ce1 0.0000 0.0000 0.0000  4 Ce 3.31, 8 Sc 3.32
Sc1 0.5000 0.5000 0.1107  4 In 3.11, 4 Sc 3.31, 4 Ce 3.32
Sc2 0.5000 0.5000 0.3046  8 In 3.13, 4 Sc 3.31
Sc3 0.5000 0.5000 0.5000  8 In 3.13, 4 Sc 3.31
Sc4 0.5000 0.5000 0.6954  8 In 3.13, 4 Sc 3.31
Sc5 0.5000 0.5000 0.8893  4 In 3.11, 4 Sc 3.31, 4 Ce 3.32
In1 0.0000 0.0000 0.2068  8 Sc 3.11-3.13, 4 In 3.31
In2 0.0000 0.0000 0.4021  8 Sc 3.13, 4 In 3.31
In3 0.0000 0.0000 0.5979  8 Sc 3.13, 4 In 3.31
In4 0.0000 0.0000 0.7932  8 Sc 3.11-3.13, 4 In 3.31

Values from the calculation:
* size of the total moment: 0.006 μB per atom
* symmetry: P4/mmm, No. 123
* DFT formation energy: -0.35 eV per atom